(1)
First-principles (GGA-PBE) data for an optimized crystal structure of SrPdCl6, as listed in Alexandria.

Properties
E_tot	-3.39	eV/atom
total magnetization	0.00	μB per cell
excess energy over the best structure of this formula in the dataset	0.000	eV per atom
energy relative to the elements, uncorrected	-885	kJ/mol of formula units

abc: 6.6272 6.6272 10.2970
angles: 90.28 90.28 75.30
Last column: nearest neighbours and their distance in Å.
Positions (direct):
1 Sr 0.0141 0.9859 0.7500  8 Cl 2.99-3.18
2 Sr 0.9859 0.0141 0.2500  8 Cl 2.99-3.18
3 Pd 0.0000 0.5000 0.5000  6 Cl 2.35-2.36
4 Pd 0.5000 0.0000 0.0000  6 Cl 2.35-2.36
5 Cl 0.1376 0.5501 0.2967  1 Pd 2.35
6 Cl 0.1503 0.2001 0.0017  1 Pd 2.36
7 Cl 0.2001 0.1503 0.5017  1 Pd 2.36
8 Cl 0.2654 0.6153 0.6056  1 Pd 2.35
9 Cl 0.3847 0.7346 0.8944  1 Pd 2.35
10 Cl 0.4499 0.8624 0.2033  1 Pd 2.35
11 Cl 0.5501 0.1376 0.7967  1 Pd 2.35
12 Cl 0.6153 0.2654 0.1056  1 Pd 2.35
13 Cl 0.7346 0.3847 0.3944  1 Pd 2.35
14 Cl 0.7999 0.8497 0.4983  1 Pd 2.36
15 Cl 0.8497 0.7999 0.9983  1 Pd 2.36
16 Cl 0.8624 0.4499 0.7033  1 Pd 2.35

***

(2)
First-principles (GGA-PBE) data for an optimized crystal structure of K2TbPa2Se6, as listed in Alexandria.

Properties
E_tot	-5.75	eV/atom
total magnetization	3.04	μB per cell
energy relative to the elements, uncorrected	-1589	kJ/mol of formula units
D(E_F)	1.08	states/eV per atom

abc: 7.1984 7.1984 8.2732
angles: 98.19 98.19 119.77
Last column: nearest neighbours and their distance in Å.
Positions (direct):
1 K 0.1662 0.8338 0.0000  6 Se 3.35-3.36
2 K 0.8338 0.1662 0.0000  6 Se 3.35-3.36
3 Tb 0.0000 0.0000 0.5000  6 Se 2.91
4 Pa 0.3359 0.6641 0.5000  6 Se 2.89-2.90
5 Pa 0.6641 0.3359 0.5000  6 Se 2.89-2.90
6 Se 0.0655 0.4027 0.7029  2 Pa 2.89-2.90, 1 Tb 2.91
7 Se 0.2652 0.2652 0.2933  2 Pa 2.89, 1 Tb 2.91
8 Se 0.4027 0.0655 0.7029  2 Pa 2.89-2.90, 1 Tb 2.91
9 Se 0.5973 0.9345 0.2971  2 Pa 2.89-2.90, 1 Tb 2.91
10 Se 0.7348 0.7348 0.7067  2 Pa 2.89, 1 Tb 2.91
11 Se 0.9345 0.5973 0.2971  2 Pa 2.89-2.90, 1 Tb 2.91

***

(3)
First-principles (GGA-PBE) data for an optimized crystal structure of Rb2PuMg2Se4, as listed in Alexandria.

Properties
E_tot	-4.96	eV/atom
total magnetization	5.98	μB per cell
energy relative to the elements, uncorrected	-1086	kJ/mol of formula units
D(E_F)	1.46	states/eV per atom

abc: 8.4275 8.4275 8.2469
angles: 107.44 107.44 29.83
Last column: nearest neighbours and their distance in Å.
Positions (direct):
1 Rb 0.1248 0.1248 0.0411  7 Se 3.60-3.73, 1 Rb 3.91
2 Rb 0.8752 0.8752 0.9589  7 Se 3.60-3.73, 1 Rb 3.91
3 Pu 0.0000 0.0000 0.5000  6 Se 2.99-3.20
4 Mg 0.3286 0.3286 0.5197  4 Se 2.55-2.67
5 Mg 0.6714 0.6714 0.4803  4 Se 2.55-2.67
6 Se 0.2052 0.2052 0.6706  3 Mg 2.63-2.67
7 Se 0.4797 0.4797 0.7345  1 Mg 2.55
8 Se 0.5203 0.5203 0.2655  1 Mg 2.55
9 Se 0.7948 0.7948 0.3294  3 Mg 2.63-2.67

***

(4)
First-principles (GGA-PBE) data for an optimized crystal structure of Ta2Al2V, as listed in Alexandria.

Properties
E_tot	-8.17	eV/atom
total magnetization	0.00	μB per cell
ΔH_f (0 K)	-112	meV per atom
D(E_F)	0.41	states/eV per atom

abc: 6.7613 6.7613 3.5661
angles: 90.00 90.00 90.00
Last column: nearest neighbours and their distance in Å.
Positions (direct):
1 Ta 0.1725 0.3275 0.0000  6 Al 2.60-2.73
2 Ta 0.3275 0.8275 0.0000  6 Al 2.60-2.73
3 Ta 0.6725 0.1725 0.0000  6 Al 2.60-2.73
4 Ta 0.8275 0.6725 0.0000  6 Al 2.60-2.73
5 Al 0.1297 0.6297 0.5000  1 Al 2.48, 6 Ta 2.60-2.73, 2 V 2.65
6 Al 0.3703 0.1297 0.5000  1 Al 2.48, 6 Ta 2.60-2.73, 2 V 2.65
7 Al 0.6297 0.8703 0.5000  1 Al 2.48, 6 Ta 2.60-2.73, 2 V 2.65
8 Al 0.8703 0.3703 0.5000  1 Al 2.48, 6 Ta 2.60-2.73, 2 V 2.65
9 V 0.0000 0.0000 0.5000  4 Al 2.65
10 V 0.5000 0.5000 0.5000  4 Al 2.65

***

(5)
First-principles (GGA-PBE) data for an optimized crystal structure of LaTb5N6, as listed in Alexandria.

Properties
E_tot	-8.08	eV/atom
total magnetization	0.00	μB per cell
energy relative to the elements, uncorrected	-1831	kJ/mol of formula units
D(E_F)	0.03	states/eV per atom

abc: 6.1381 6.1381 6.1320
angles: 99.59 99.59 120.00
Last column: nearest neighbours and their distance in Å.
Positions (direct):
1 La 0.0000 0.0000 0.0000  6 N 2.56-2.57
2 Tb 0.1684 0.8316 0.5000  6 N 2.43-2.53
3 Tb 0.3336 0.6664 0.0000  6 N 2.49-2.50
4 Tb 0.5000 0.5000 0.5000  6 N 2.45-2.51
5 Tb 0.6664 0.3336 0.0000  6 N 2.49-2.50
6 Tb 0.8316 0.1684 0.5000  6 N 2.43-2.53
7 N 0.0849 0.4273 0.2545  5 Tb 2.43-2.51, 1 La 2.57
8 N 0.2582 0.2582 0.7463  5 Tb 2.45-2.53, 1 La 2.56
9 N 0.4273 0.0849 0.2545  5 Tb 2.43-2.51, 1 La 2.57
10 N 0.5727 0.9151 0.7455  5 Tb 2.43-2.51, 1 La 2.57
11 N 0.7418 0.7418 0.2537  5 Tb 2.45-2.53, 1 La 2.56
12 N 0.9151 0.5727 0.7455  5 Tb 2.43-2.51, 1 La 2.57

***

(6)
First-principles (GGA-PBE) data for an optimized crystal structure of Pm8Ir3Pd2, as listed in Alexandria.

Properties
E_tot	-6.33	eV/atom
total magnetization	0.00	μB per cell
ΔH_f (0 K)	-561	meV per atom
D(E_F)	0.95	states/eV per atom

abc: 8.7340 8.7340 4.9328
angles: 90.00 90.00 110.21
Last column: nearest neighbours and their distance in Å.
Positions (direct):
1 Pm 0.1183 0.8817 0.0000  2 Ir 2.99, 2 Pd 3.06
2 Pm 0.1335 0.3728 0.5000  3 Ir 3.00, 2 Pd 3.10-3.14
3 Pm 0.3728 0.1335 0.5000  3 Ir 3.00, 2 Pd 3.10-3.14
4 Pm 0.3796 0.6204 0.0000  4 Ir 3.01-3.07, 2 Pd 3.14
5 Pm 0.6204 0.3796 0.0000  4 Ir 3.01-3.07, 2 Pd 3.14
6 Pm 0.6272 0.8665 0.5000  3 Ir 3.00, 2 Pd 3.10-3.14
7 Pm 0.8665 0.6272 0.5000  3 Ir 3.00, 2 Pd 3.10-3.14
8 Pm 0.8817 0.1183 0.0000  2 Ir 2.99, 2 Pd 3.06
9 Ir 0.2465 0.2465 0.0000  8 Pm 2.99-3.07
10 Ir 0.5000 0.5000 0.5000  8 Pm 3.00-3.01
11 Ir 0.7535 0.7535 0.0000  8 Pm 2.99-3.07
12 Pd 0.2442 0.7558 0.5000  8 Pm 3.06-3.14
13 Pd 0.7558 0.2442 0.5000  8 Pm 3.06-3.14

***

Copy entry 6 word for word.
First-principles (GGA-PBE) data for an optimized crystal structure of Pm8Ir3Pd2, as listed in Alexandria.

Properties
E_tot	-6.33	eV/atom
total magnetization	0.00	μB per cell
ΔH_f (0 K)	-561	meV per atom
D(E_F)	0.95	states/eV per atom

abc: 8.7340 8.7340 4.9328
angles: 90.00 90.00 110.21
Last column: nearest neighbours and their distance in Å.
Positions (direct):
1 Pm 0.1183 0.8817 0.0000  2 Ir 2.99, 2 Pd 3.06
2 Pm 0.1335 0.3728 0.5000  3 Ir 3.00, 2 Pd 3.10-3.14
3 Pm 0.3728 0.1335 0.5000  3 Ir 3.00, 2 Pd 3.10-3.14
4 Pm 0.3796 0.6204 0.0000  4 Ir 3.01-3.07, 2 Pd 3.14
5 Pm 0.6204 0.3796 0.0000  4 Ir 3.01-3.07, 2 Pd 3.14
6 Pm 0.6272 0.8665 0.5000  3 Ir 3.00, 2 Pd 3.10-3.14
7 Pm 0.8665 0.6272 0.5000  3 Ir 3.00, 2 Pd 3.10-3.14
8 Pm 0.8817 0.1183 0.0000  2 Ir 2.99, 2 Pd 3.06
9 Ir 0.2465 0.2465 0.0000  8 Pm 2.99-3.07
10 Ir 0.5000 0.5000 0.5000  8 Pm 3.00-3.01
11 Ir 0.7535 0.7535 0.0000  8 Pm 2.99-3.07
12 Pd 0.2442 0.7558 0.5000  8 Pm 3.06-3.14
13 Pd 0.7558 0.2442 0.5000  8 Pm 3.06-3.14

***

Question: Look up the E_tot of the second one.
Answer: -5.75 eV/atom

***

Question: Which formula does entry 5 have?
Answer: LaTb5N6